No. 1
A relaxed structure of CrTcAsRu. Source: Alexandria via LeMat-Bulk, functional PBE.

The calculated formation energy is -0.090 eV/atom. The crystal system is cubic. The value obtained for the total energy is -8.57 eV per atom.

Cell lengths 4.2702, 4.2702, 4.2702 Å; angles 60.00, 60.00, 60.00 degrees
Last column: magnetic moment on the atom in μB.
Sites, in units of the cell vectors:
Ru: 0.7500 0.7500 0.7500  -0.09
As: 0.0000 0.0000 0.0000  0.04
Tc: 0.2500 0.2500 0.2500  -0.29
Cr: 0.5000 0.5000 0.5000  2.21

No. 2
A relaxed structure of Mg4Sn3Hg. Source: Alexandria via LeMat-Bulk, functional PBE.

The calculated formation energy is -0.153 eV/atom. The crystal system is tetragonal. The value obtained for the total energy is -2.49 eV per atom.

Cell lengths 3.3662, 3.3662, 16.4801 Å; angles 90.00, 90.00, 90.00 degrees
Sites, in units of the cell vectors:
Mg: 0.0000 0.0000 0.6268
Mg: 0.0000 0.0000 0.1137
Mg: 0.0000 0.0000 0.8863
Mg: 0.0000 0.0000 0.3732
Sn: 0.5000 0.5000 0.2430
Sn: 0.5000 0.5000 0.5000
Sn: 0.5000 0.5000 0.7570
Hg: 0.5000 0.5000 0.0000

No. 3
A relaxed structure of YSbO3. Source: Alexandria via LeMat-Bulk, functional PBE.

The crystal system is cubic. For the uncorrected formation energy, the calculation gives -143.97 kJ/mol of atoms. The value obtained for the total energy is -6.58 eV per atom.

Cell lengths 4.1986, 4.1986, 4.1986 Å; angles 90.00, 90.00, 90.00 degrees
Sites, in units of the cell vectors:
Sb: 0.0000 0.0000 0.0000
O: 0.5000 0.0000 0.0000
O: 0.0000 0.0000 0.5000
O: 0.0000 0.5000 0.0000
Y: 0.5000 0.5000 0.5000

No. 4
A relaxed structure of TlHgF3. Source: Alexandria via LeMat-Bulk, functional PBE.

The crystal system is orthorhombic. For the uncorrected formation energy, the calculation gives -133.75 kJ/mol of atoms. The value obtained for the total energy is -3.04 eV per atom.

Cell lengths 6.8748, 6.8748, 5.9880 Å; angles 90.00, 90.00, 130.00 degrees
Sites, in units of the cell vectors:
F: 0.5172 0.9775 0.2500
F: 0.9775 0.5172 0.7500
F: 0.0000 0.0000 0.0000
F: 0.4828 0.0225 0.7500
F: 0.0225 0.4828 0.2500
F: 0.0000 0.0000 0.5000
Hg: 0.8638 0.1362 0.7500
Hg: 0.1362 0.8638 0.2500
Tl: 0.4202 0.5798 0.2500
Tl: 0.5798 0.4202 0.7500

No. 5
A relaxed structure of Pr7Sn2Au2. Source: Alexandria via LeMat-Bulk, functional PBE.

The calculated formation energy is -0.371 eV/atom. The crystal system is orthorhombic. The value obtained for the total energy is -4.74 eV per atom.

Cell lengths 7.2495, 7.2892, 7.2495 Å; angles 90.00, 107.49, 90.00 degrees
Sites, in units of the cell vectors:
Sn: 0.8265 0.5000 0.8265
Sn: 0.1735 0.5000 0.1735
Pr: 0.4998 0.2477 0.5002
Pr: 0.4997 0.2707 0.0002
Pr: 0.9998 0.2707 0.5003
Pr: 0.0000 0.0000 0.0000
Pr: 0.5003 0.7293 0.9998
Pr: 0.0002 0.7293 0.4997
Pr: 0.5002 0.7523 0.4998
Au: 0.7182 0.0000 0.2818
Au: 0.2818 0.0000 0.7182

No. 6
A relaxed structure of Ba3HoCd4. Source: Alexandria via LeMat-Bulk, functional PBE.

The calculated formation energy is -0.292 eV/atom. The crystal system is tetragonal. The value obtained for the total energy is -2.04 eV per atom.

Cell lengths 4.0463, 4.0463, 16.9266 Å; angles 90.00, 90.00, 90.00 degrees
Sites, in units of the cell vectors:
Cd: 0.0000 0.0000 0.6322
Cd: 0.0000 0.0000 0.0946
Cd: 0.0000 0.0000 0.3678
Cd: 0.0000 0.0000 0.9054
Ba: 0.5000 0.5000 0.7668
Ba: 0.5000 0.5000 0.5000
Ba: 0.5000 0.5000 0.2332
Ho: 0.5000 0.5000 0.0000

No. 7
A relaxed structure of Y2VNi. Source: Alexandria via LeMat-Bulk, functional PBE.

Its energy above the most stable polymorph in this dataset is 0.00 eV per formula unit. The calculated formation energy is 0.100 eV/atom. The crystal system is cubic. The value obtained for the total energy is -6.86 eV per atom.

Cell lengths 4.9409, 4.9409, 4.9409 Å; angles 60.00, 60.00, 60.00 degrees
Last column: magnetic moment on the atom in μB.
Sites, in units of the cell vectors:
Y: 0.7500 0.7500 0.7500  0.10
Y: 0.2500 0.2500 0.2500  0.10
V: 0.0000 0.0000 0.0000  2.55
Ni: 0.5000 0.5000 0.5000  0.34

No. 8
A relaxed structure of AcCd3Hg3. Source: Alexandria via LeMat-Bulk, functional PBE.

Its energy above the most stable polymorph in this dataset is 0.34 eV per formula unit. The calculated formation energy is -0.201 eV/atom. The crystal system is trigonal. The value obtained for the total energy is -1.31 eV per atom.

Cell lengths 7.9854, 7.9854, 8.1692 Å; angles 60.74, 60.74, 60.00 degrees
Sites, in units of the cell vectors:
Ac: 0.6095 0.6095 0.1715
Ac: 0.3905 0.3905 0.8285
Cd: 0.7009 0.0755 0.5222
Cd: 0.2986 0.2991 0.4778
Cd: 0.2991 0.9245 0.4778
Cd: 0.7014 0.7009 0.5222
Cd: 0.0755 0.7014 0.5222
Cd: 0.9245 0.2986 0.4778
Hg: 0.1020 0.1020 0.1591
Hg: 0.1020 0.6369 0.1591
Hg: 0.8980 0.3631 0.8409
Hg: 0.6369 0.1020 0.1591
Hg: 0.8980 0.8980 0.8409
Hg: 0.3631 0.8980 0.8409

No. 9
A relaxed structure of NaGa2Sn2. Source: Alexandria via LeMat-Bulk, functional PBE.

Its energy above the most stable polymorph in this dataset is 0.00 eV per formula unit. The calculated formation energy is -0.084 eV/atom. The crystal system is monoclinic. The value obtained for the total energy is -3.16 eV per atom.

Cell lengths 4.5449, 5.1694, 11.2194 Å; angles 89.99, 90.00, 90.00 degrees
Sites, in units of the cell vectors:
Sn: 0.2500 0.7508 0.8719
Sn: 0.7500 0.2492 0.1281
Sn: 0.2500 0.2500 0.5156
Sn: 0.7500 0.7500 0.4844
Ga: 0.7500 0.7495 0.0164
Ga: 0.2500 0.2505 0.9836
Ga: 0.7500 0.2498 0.3675
Ga: 0.2500 0.7502 0.6325
Na: 0.2500 0.7472 0.2400
Na: 0.7500 0.2528 0.7600

No. 10
A relaxed structure of NbH3I. Source: Alexandria via LeMat-Bulk, functional PBE.

Its energy above the most stable polymorph in this dataset is 0.00 eV per formula unit. The crystal system is cubic. The value obtained for the total energy is -3.88 eV per atom.

Cell lengths 3.8928, 3.8928, 3.8928 Å; angles 90.00, 90.00, 90.00 degrees
Last column: magnetic moment on the atom in μB.
Sites, in units of the cell vectors:
H: 0.0000 0.5000 0.0000  -0.02
H: 0.5000 0.0000 0.0000  -0.02
H: 0.0000 0.0000 0.5000  -0.02
Nb: 0.0000 0.0000 0.0000  1.02
I: 0.5000 0.5000 0.5000  -0.09

No. 11
A relaxed structure of Pr3Nd3Sc. Source: Alexandria via LeMat-Bulk, functional PBE.

The calculated formation energy is 0.166 eV/atom. The crystal system is orthorhombic. The value obtained for the total energy is -4.83 eV per atom.

Cell lengths 8.2027, 8.2027, 7.2975 Å; angles 89.99, 89.99, 87.78 degrees
Sites, in units of the cell vectors:
Nd: 0.0000 0.5004 0.7588
Nd: 0.0000 0.0000 0.7566
Nd: 0.0000 0.4996 0.2412
Nd: 0.4996 0.0000 0.2412
Nd: 0.5004 0.0000 0.7588
Nd: 0.0000 0.0000 0.2434
Pr: 0.6844 0.3156 0.0000
Pr: 0.2865 0.7135 0.5000
Pr: 0.3156 0.6844 0.0000
Pr: 0.7135 0.2865 0.5000
Pr: 0.2789 0.2789 0.5000
Pr: 0.7211 0.7211 0.5000
Sc: 0.2603 0.2603 0.9998
Sc: 0.7397 0.7397 0.0002

No. 12
A relaxed structure of Dy2Tm2Sc7. Source: Alexandria via LeMat-Bulk, functional PBE.

Its energy above the most stable polymorph in this dataset is 0.13 eV per formula unit. The calculated formation energy is 0.175 eV/atom. The crystal system is monoclinic. The value obtained for the total energy is -5.50 eV per atom.

Cell lengths 9.0969, 6.3560, 6.3560 Å; angles 121.70, 98.85, 98.85 degrees
Sites, in units of the cell vectors:
Sc: 0.3834 0.2538 0.2538
Sc: 0.6166 0.7462 0.7462
Sc: 0.1575 0.4782 0.0563
Sc: 0.1575 0.0563 0.4782
Sc: 0.8425 0.5218 0.9437
Sc: 0.8425 0.9437 0.5218
Sc: 0.0000 0.0000 0.0000
Dy: 0.5000 0.7904 0.2096
Dy: 0.5000 0.2096 0.7904
Tm: 0.2054 0.6623 0.6623
Tm: 0.7946 0.3377 0.3377

What did the third record say?
A relaxed structure of YSbO3. Source: Alexandria via LeMat-Bulk, functional PBE.

The crystal system is cubic. For the uncorrected formation energy, the calculation gives -143.97 kJ/mol of atoms. The value obtained for the total energy is -6.58 eV per atom.

Cell lengths 4.1986, 4.1986, 4.1986 Å; angles 90.00, 90.00, 90.00 degrees
Sites, in units of the cell vectors:
Sb: 0.0000 0.0000 0.0000
O: 0.5000 0.0000 0.0000
O: 0.0000 0.0000 0.5000
O: 0.0000 0.5000 0.0000
Y: 0.5000 0.5000 0.5000

- Among the records above, which one has the lowest total energy?
  CrTcAsRu